The following is a DFT calculation (GGA-PBE) of a relaxed structure of Tb3PmPu2S6.

Volume (Å³ per atom): 21.9
SG: C2/m
Formation energy without anion corrections (eV per atom): -1.96
M_tot (μB/cell): 11.43
Uncorrected energy (eV/cell): -95.6

Lattice parameters (Å, degrees): 6.8376 6.8376 6.8711 99.53 99.53 120.02
Positions (direct):
Tb 0.0000 0.0000 0.0000
Tb 0.3347 0.6653 0.0000
Tb 0.6653 0.3347 0.0000
Pm 0.5000 0.5000 0.5000
Pu 0.1668 0.8332 0.5000
Pu 0.8332 0.1668 0.5000
S 0.0772 0.4150 0.2454
S 0.2469 0.2469 0.7543
S 0.4150 0.0772 0.2454
S 0.5850 0.9228 0.7546
S 0.7531 0.7531 0.2457
S 0.9228 0.5850 0.7546